1.
RbCdF2 (PBE, optimized geometry); symmetry = I-42d; size of the total moment = 0.000 μB/atom; offset from the most stable computed form = 0.0 kJ per mole of atoms; uncorrected formation energy = -1.9285 eV per atom
1.0
-0.352 -6.175 1.108
3.525 0.723 5.151
-2.648 -1.984 5.924
F Cd Rb
4 2 2
Direct
0.676 0.125 0.250 F
0.074 0.625 0.250 F
0.375 0.324 0.750 F
0.875 0.926 0.750 F
0.750 0.250 0.500 Cd
0.000 0.000 0.000 Cd
0.500 0.500 0.000 Rb
0.250 0.750 0.500 Rb

2.
Cd2ReAu (PBE, optimized geometry); symmetry = C2/m; size of the total moment = 0.000 μB/atom; energy of formation from the pure elements = 0.47 eV/atom; offset from the most stable computed form = 14.1 kJ per mole of atoms
1.0
5.105 0.017 -0.019
4.320 2.721 -0.019
0.882 0.256 5.239
Re Cd Au
1 2 1
Direct
0.250 0.250 0.250 Re
0.999 0.999 0.008 Cd
0.501 0.501 0.492 Cd
0.750 0.750 0.750 Au

3.
Sr2ZnSe (PBE, optimized geometry); symmetry = I-4m2; size of the total moment = 0.000 μB/atom; offset from the most stable computed form = 18.9 kJ per mole of atoms; uncorrected formation energy = -0.7592 eV per atom
1.0
7.045 0.011 0.000
4.182 5.670 0.000
-5.614 -2.840 3.171
Zn Sr Se
1 2 1
Direct
0.500 0.500 0.000 Zn
0.000 0.000 0.000 Sr
0.250 0.750 0.500 Sr
0.750 0.250 0.500 Se

4.
Y4NiAs (PBE, optimized geometry); symmetry = F-43m; size of the total moment = 0.000 μB/atom; energy of formation from the pure elements = 0.58 eV/atom
1.0
0.000 4.314 4.314
4.314 0.000 4.314
4.314 4.314 0.000
As Y Ni
1 4 1
Direct
0.750 0.750 0.750 As
0.375 0.875 0.375 Y
0.875 0.375 0.375 Y
0.375 0.375 0.375 Y
0.375 0.375 0.875 Y
0.000 0.000 0.000 Ni

5.
Cu3PdAu (PBE, optimized geometry); symmetry = P-1; size of the total moment = 0.000 μB/atom; energy of formation from the pure elements = -0.09 eV/atom; offset from the most stable computed form = 0.0 kJ per mole of atoms
1.0
-1.967 -3.019 -2.806
2.646 -3.738 0.279
-4.799 -3.859 3.823
Pd Cu Au
2 6 2
Direct
0.059 0.845 0.600 Pd
0.353 0.344 0.015 Pd
0.160 0.345 0.398 Cu
0.955 0.345 0.808 Cu
0.251 0.844 0.216 Cu
0.456 0.844 0.807 Cu
0.659 0.845 0.400 Cu
0.752 0.344 0.215 Cu
0.854 0.844 0.012 Au
0.558 0.345 0.602 Au

6.
PaCrP2Ru5 (PBE, optimized geometry); symmetry = P4/mmm; size of the total moment = 0.456 μB/atom; energy of formation from the pure elements = 0.00 eV/atom
1.0
-3.920 -1.344 -0.294
1.278 -3.227 -2.284
1.296 -5.693 8.767
Ru Pa P Cr
5 1 2 1
Direct
0.000 0.000 0.500 Ru
0.500 0.000 0.690 Ru
0.000 0.500 0.310 Ru
0.000 0.500 0.690 Ru
0.500 0.000 0.310 Ru
0.500 0.500 0.500 Pa
0.000 0.000 0.223 P
0.000 0.000 0.777 P
0.000 0.000 0.000 Cr

Short version: ρ = 3.869; 13.938; 4.195; 5.060; 11.757; 7.766 Mg/m³, in the order given.